Here is NaNi3Rh after structural relaxation from the Alexandria database. Energies are from PBE-GGA.

The space group is Pm-3m (No. 221) and the conventional cell measures 4.612, 4.612 and 4.612 Å, with angles of 90.00, 90.00 and 90.00 degrees. The inequivalent atoms are Na at (0.000, 0.000, 0.000), Ni at (0.000, 0.500, 0.500) and Rh at (0.500, 0.500, 0.500).

For the raw total energy, the calculation gives -4.29 eV/atom.

***

Here is Gd2ZrCd after structural relaxation from the Alexandria database. Energies are from PBE-GGA.

The space group is R-3m (No. 166, hexagonal axes) and the conventional cell measures 3.3681, 3.3681 and 35.3625 Å, with angles of 90.00, 90.00 and 120.00 degrees. The inequivalent atoms are Gd at (0.0000, 0.0000, 0.0919), Zr at (0.0000, 0.0000, 0.5000) and Cd at (0.0000, 0.0000, 0.0000).

For the raw total energy, the calculation gives -9.24 eV/atom.

***

Here is LiSi2PtO6 after structural relaxation from the Alexandria database. Energies are from PBE-GGA.

The space group is C2/c (No. 15) and the conventional cell measures 10.296, 9.192 and 5.307 Å, with angles of 90.00, 111.06 and 90.00 degrees. The inequivalent atoms are Li at (0.000, 0.100, 0.250), Si at (0.212, 0.411, 0.189), Pt at (0.000, 0.262, 0.750), O at (0.119, 0.094, 0.665), O at (0.127, 0.258, 0.148) and O at (0.157, 0.474, 0.872).

For the raw total energy, the calculation gives -6.77 eV/atom. As for the formation energy (no corrections): -1.910 eV/atom.

***

Here is Na6Tl5 after structural relaxation from the Alexandria database. Energies are from PBE-GGA.

The space group is Immm (No. 71) and the conventional cell measures 5.420, 7.508 and 16.099 Å, with angles of 90.00, 90.00 and 90.00 degrees. The inequivalent atoms are Na at (0.000, 0.230, 0.150), Na at (0.000, 0.265, 0.500), Tl at (0.000, 0.000, 0.329), Tl at (0.000, 0.500, 0.000) and Tl at (0.000, 0.500, 0.309).

For the raw total energy, the calculation gives -1.86 eV/atom.

***

Here is Li2DyScS4 after structural relaxation from the Alexandria database. Energies are from PBE-GGA.

The space group is P2/m (No. 10) and the conventional cell measures 6.511, 3.809 and 6.594 Å, with angles of 90.00, 109.72 and 90.00 degrees. The inequivalent atoms are Li at (0.000, 0.000, 0.000), Li at (0.000, 0.500, 0.500), Dy at (0.500, 0.000, 0.500), Sc at (0.500, 0.500, 0.000), S at (0.251, 0.500, 0.239) and S at (0.257, 0.000, 0.763).

For the raw total energy, the calculation gives -5.71 eV/atom. As for the formation energy (no corrections): -1.800 eV/atom.

***

Here is CoReTc2 after structural relaxation from the Alexandria database. Energies are from PBE-GGA.

The space group is P4/mmm (No. 123) and the conventional cell measures 3.135, 3.135 and 5.600 Å, with angles of 90.00, 90.00 and 90.00 degrees. The inequivalent atoms are Co at (0.000, 0.000, 0.000), Re at (0.000, 0.000, 0.500) and Tc at (0.500, 0.500, 0.224).

For the raw total energy, the calculation gives -9.91 eV/atom.

***

Here is TaMn2Tc after structural relaxation from the Alexandria database. Energies are from PBE-GGA.

The space group is R-3m (No. 166, hexagonal axes) and the conventional cell measures 2.7932, 2.7932 and 25.9517 Å, with angles of 90.00, 90.00 and 120.00 degrees. The inequivalent atoms are Ta at (0.0000, 0.0000, 0.0000), Mn at (0.0000, 0.0000, 0.2453) and Tc at (0.0000, 0.0000, 0.5000).

For the raw total energy, the calculation gives -9.89 eV/atom.

***

Here is Tm5Tl2Ir after structural relaxation from the Alexandria database. Energies are from PBE-GGA.

The space group is Pbam (No. 55) and the conventional cell measures 7.175, 12.312 and 4.731 Å, with angles of 90.00, 90.00 and 90.00 degrees. The inequivalent atoms are Tm at (0.000, 0.000, 0.000), Tm at (0.133, 0.292, 0.000), Tm at (0.177, 0.579, 0.500), Tl at (0.088, 0.835, 0.500) and Ir at (0.000, 0.500, 0.000).

For the raw total energy, the calculation gives -4.97 eV/atom.

***

Here is SrAsIrO5 after structural relaxation from the Alexandria database. Energies are from PBE-GGA.

The space group is C2/c (No. 15) and the conventional cell measures 6.877, 9.479 and 7.323 Å, with angles of 90.00, 113.88 and 90.00 degrees. The inequivalent atoms are Sr at (0.000, 0.163, 0.250), As at (0.000, 0.189, 0.750), Ir at (0.000, 0.500, 0.000), O at (0.000, 0.418, 0.250), O at (0.103, 0.294, 0.610) and O at (0.187, 0.073, 0.929).

For the raw total energy, the calculation gives -6.45 eV/atom. As for the formation energy (no corrections): -1.453 eV/atom.

***

Here is NaZn2Sn2 after structural relaxation from the Alexandria database. Energies are from PBE-GGA.

The space group is P4/mbm (No. 127) and the conventional cell measures 8.078, 8.078 and 3.492 Å, with angles of 90.00, 90.00 and 90.00 degrees. The inequivalent atoms are Na at (0.000, 0.000, 0.000), Zn at (0.120, 0.380, 0.000) and Sn at (0.175, 0.675, 0.500).

For the raw total energy, the calculation gives -2.38 eV/atom.

***

Here is HfRhS2 after structural relaxation from the Alexandria database. Energies are from PBE-GGA.

The space group is R-3m (No. 166, hexagonal axes) and the conventional cell measures 3.4779, 3.4779 and 22.8412 Å, with angles of 90.00, 90.00 and 120.00 degrees. The inequivalent atoms are Hf at (0.0000, 0.0000, 0.0000), Rh at (0.0000, 0.0000, 0.5000) and S at (0.0000, 0.0000, 0.4007).

For the raw total energy, the calculation gives -7.14 eV/atom. As for the formation energy (no corrections): -0.749 eV/atom.

***

Here is YTl2Hg after structural relaxation from the Alexandria database. Energies are from PBE-GGA.

The space group is R-3m (No. 166, hexagonal axes) and the conventional cell measures 3.5767, 3.5767 and 31.0382 Å, with angles of 90.00, 90.00 and 120.00 degrees. The inequivalent atoms are Y at (0.0000, 0.0000, 0.0000), Tl at (0.0000, 0.0000, 0.2483) and Hg at (0.0000, 0.0000, 0.5000).

For the raw total energy, the calculation gives -2.91 eV/atom.